#w
! BeGaF2 (GGA-PBE, optimized geometry); values from VASP
&SYSTEM
  ibrav = 0, nat = 8, ntyp = 3
/
ATOMIC_SPECIES
Ga 69.72 Ga.upf
F 19.00 F.upf
Be 9.01 Be.upf
CELL_PARAMETERS angstrom
3.7752 -2.0846 3.0643
0.0037 0.9451 5.2052
-1.1903 -3.8798 3.3937
ATOMIC_POSITIONS angstrom
Ga 1.2943 -2.5097 5.8316
Ga 1.9414 -3.7645 8.7473
F 2.2111 -1.6697 2.9900
F -0.2716 -2.5673 3.1547
F 0.3254 -0.1549 4.0605
F 0.3236 -0.6274 1.4579
Be 0.6471 -1.2548 2.9158
Be 0.0000 0.0000 0.0000
! N(E_F) (states/eV/f.u.): 1.40
! Space-group type: Fd-3m, No. 227
! Calculated volume (Å³ per cell): 105
! Total moment (μB/cell): 0.00
! Theoretical density (g/cm3): 3.7

---

#x
! BeGaF2 (GGA-PBE, optimized geometry); values from VASP
&SYSTEM
  ibrav = 0, nat = 4, ntyp = 3
/
ATOMIC_SPECIES
F 19.00 F.upf
Ga 69.72 Ga.upf
Be 9.01 Be.upf
CELL_PARAMETERS angstrom
-3.1283 6.7056 -3.7672
-5.5848 4.6738 -3.9886
-5.1541 6.3751 -1.3180
ATOMIC_POSITIONS angstrom
F -13.0671 16.7301 -8.5503
F -0.8001 1.0244 -0.5235
Ga -6.9336 8.8772 -4.5369
Be 0.0000 0.0000 0.0000
! N(E_F) (states/eV/f.u.): 1.83
! Space-group type: R-3m, No. 166
! Calculated volume (Å³ per cell): 72
! Total moment (μB/cell): 0.26
! Theoretical density (g/cm3): 2.7

---

Verdict on stability: #x comes out at the bottom.

---

#w
! Be3GaF (GGA-PBE, optimized geometry); values from VASP
&SYSTEM
  ibrav = 0, nat = 5, ntyp = 3
/
ATOMIC_SPECIES
F 19.00 F.upf
Be 9.01 Be.upf
Ga 69.72 Ga.upf
CELL_PARAMETERS angstrom
-1.2819 -2.0070 -2.9527
-2.2444 -1.9868 2.3249
-2.7766 2.5326 -0.5161
ATOMIC_POSITIONS angstrom
F 0.0000 0.0000 0.0000
Be -1.1222 -0.9934 1.1625
Be -1.3883 1.2663 -0.2580
Be -0.6410 -1.0035 -1.4763
Ga -3.1514 -0.7306 -0.5719
! N(E_F) (states/eV/f.u.): 1.57
! Space-group type: Pm-3m, No. 221
! Calculated volume (Å³ per cell): 55
! Total moment (μB/cell): 0.00
! Theoretical density (g/cm3): 3.5

---

#x
! Be3GaF (GGA-PBE, optimized geometry); values from VASP
&SYSTEM
  ibrav = 0, nat = 5, ntyp = 3
/
ATOMIC_SPECIES
Be 9.01 Be.upf
Ga 69.72 Ga.upf
F 19.00 F.upf
CELL_PARAMETERS angstrom
4.2387 0.0000 0.0000
0.0000 4.2387 0.0000
0.0000 0.0000 4.2387
ATOMIC_POSITIONS angstrom
Be 2.1194 0.0000 0.0000
Be 0.0000 2.1194 0.0000
Ga 0.0000 0.0000 0.0000
Be 0.0000 0.0000 2.1194
F 2.1194 2.1194 2.1194
! N(E_F) (states/eV/f.u.): 0.00
! Space-group type: Pm-3m, No. 221
! Calculated volume (Å³ per cell): 76
! Total moment (μB/cell): 0.00
! Theoretical density (g/cm3): 2.5

---

Verdict on stability: #x comes out at the bottom.

---

#w
! BeGaNF2 (GGA-PBE, optimized geometry); values from VASP
&SYSTEM
  ibrav = 0, nat = 5, ntyp = 4
/
ATOMIC_SPECIES
N 14.01 N.upf
Be 9.01 Be.upf
F 19.00 F.upf
Ga 69.72 Ga.upf
CELL_PARAMETERS angstrom
3.7851 0.0000 0.0000
0.0000 3.7851 0.0000
0.0000 0.0000 3.9949
ATOMIC_POSITIONS angstrom
N 0.0000 0.0000 1.9975
Be 1.8926 1.8926 1.9975
F 0.0000 1.8926 0.0000
F 1.8926 0.0000 0.0000
Ga 0.0000 0.0000 0.0000
! N(E_F) (states/eV/f.u.): 0.78
! Space-group type: P4/mmm, No. 123
! Calculated volume (Å³ per cell): 57
! Total moment (μB/cell): 0.00
! Theoretical density (g/cm3): 3.8

---

#x
! BeGaNF2 (GGA-PBE, optimized geometry); values from VASP
&SYSTEM
  ibrav = 0, nat = 5, ntyp = 4
/
ATOMIC_SPECIES
Be 9.01 Be.upf
F 19.00 F.upf
N 14.01 N.upf
Ga 69.72 Ga.upf
CELL_PARAMETERS angstrom
-2.4189 -1.6433 1.0765
0.7448 -2.3472 -1.9095
3.1718 -2.1372 3.8642
ATOMIC_POSITIONS angstrom
Be 0.0000 0.0000 0.0000
F -1.2094 -0.8217 0.5383
F 0.3724 -1.1736 -0.9548
N 1.5859 -1.0686 1.9321
Ga 0.7488 -3.0639 1.5156
! N(E_F) (states/eV/f.u.): 1.39
! Space-group type: P4/mmm, No. 123
! Calculated volume (Å³ per cell): 53
! Total moment (μB/cell): 0.00
! Theoretical density (g/cm3): 4.1

---

Verdict on stability: #w comes out at the bottom.

---

#w
! BeGaN2F (GGA-PBE, optimized geometry); values from VASP
&SYSTEM
  ibrav = 0, nat = 5, ntyp = 4
/
ATOMIC_SPECIES
F 19.00 F.upf
Ga 69.72 Ga.upf
Be 9.01 Be.upf
N 14.01 N.upf
CELL_PARAMETERS angstrom
3.5963 0.0000 0.0000
0.0000 3.5963 0.0000
0.0000 0.0000 3.4523
ATOMIC_POSITIONS angstrom
F 0.0000 0.0000 1.7262
Ga 1.7981 1.7981 1.7262
Be 0.0000 0.0000 0.0000
N 0.0000 1.7981 0.0000
N 1.7981 0.0000 0.0000
! N(E_F) (states/eV/f.u.): 2.53
! Space-group type: P4/mmm, No. 123
! Calculated volume (Å³ per cell): 45
! Total moment (μB/cell): 0.33
! Theoretical density (g/cm3): 4.7

---

#x
! BeGaN2F (GGA-PBE, optimized geometry); values from VASP
&SYSTEM
  ibrav = 0, nat = 5, ntyp = 4
/
ATOMIC_SPECIES
Ga 69.72 Ga.upf
Be 9.01 Be.upf
N 14.01 N.upf
F 19.00 F.upf
CELL_PARAMETERS angstrom
3.8313 0.0000 0.0000
0.0000 3.8313 0.0000
0.0000 0.0000 3.8550
ATOMIC_POSITIONS angstrom
Ga 0.0000 0.0000 0.0000
Be 1.9157 1.9157 1.9275
N 0.0000 1.9157 0.0000
F 0.0000 0.0000 1.9275
N 1.9157 0.0000 0.0000
! N(E_F) (states/eV/f.u.): 2.53
! Space-group type: P4/mmm, No. 123
! Calculated volume (Å³ per cell): 57
! Total moment (μB/cell): 0.47
! Theoretical density (g/cm3): 3.7

---

Verdict on stability: #x comes out at the bottom.

---

#w
! BeGeF (GGA-PBE, optimized geometry); values from VASP
&SYSTEM
  ibrav = 0, nat = 12, ntyp = 3
/
ATOMIC_SPECIES
Ge 72.64 Ge.upf
Be 9.01 Be.upf
F 19.00 F.upf
CELL_PARAMETERS angstrom
-1.3725 0.9453 -4.3565
11.2646 -6.3327 -4.9231
-0.9410 -2.6068 1.2000
ATOMIC_POSITIONS angstrom
Ge 4.7806 -5.5728 -3.2579
Be 6.5616 -5.1713 -4.7550
Ge 3.4379 -3.1632 -5.5437
F 1.4741 -0.8019 -4.4537
F 6.6359 -5.2716 -6.3153
Be 1.3455 -3.7201 -4.5591
F 7.8168 -6.0224 -4.3532
Ge 8.5997 -7.6329 -7.4052
Be 7.4483 -5.5830 -7.6207
F 2.6550 -1.5526 -2.4917
Ge -0.3812 -1.1030 -1.3964
Be 0.4588 -3.3084 -1.6934
! N(E_F) (states/eV/f.u.): 0.69
! Space-group type: Cc, No. 9
! Calculated volume (Å³ per cell): 174
! Total moment (μB/cell): 0.00
! Theoretical density (g/cm3): 3.9

---

#x
! BeGeF (GGA-PBE, optimized geometry); values from VASP
&SYSTEM
  ibrav = 0, nat = 12, ntyp = 3
/
ATOMIC_SPECIES
F 19.00 F.upf
Ge 72.64 Ge.upf
Be 9.01 Be.upf
CELL_PARAMETERS angstrom
5.8412 0.0000 -0.0033
0.0000 4.4215 0.0000
-3.2084 0.0000 6.7529
ATOMIC_POSITIONS angstrom
F 5.0910 0.3031 1.1667
F 3.4867 2.5139 4.5432
F -0.8539 2.5139 2.2064
Ge 2.0099 2.1626 0.9729
Be 5.3229 1.8096 0.8943
Be 3.7187 4.0203 4.2707
Be -1.0859 4.0203 2.4788
Ge 0.6229 2.1626 5.7767
Be -2.6901 1.8096 5.8553
Ge 2.2271 4.3734 2.4002
F -2.4582 0.3031 5.5828
Ge 0.4057 4.3734 4.3493
! N(E_F) (states/eV/f.u.): 0.07
! Space-group type: C2, No. 5
! Calculated volume (Å³ per cell): 174
! Total moment (μB/cell): 0.00
! Theoretical density (g/cm3): 3.8

---

Verdict on stability: #w comes out at the bottom.

---

#w
! BeGeNF2 (GGA-PBE, optimized geometry); values from VASP
&SYSTEM
  ibrav = 0, nat = 5, ntyp = 4
/
ATOMIC_SPECIES
N 14.01 N.upf
Be 9.01 Be.upf
F 19.00 F.upf
Ge 72.64 Ge.upf
CELL_PARAMETERS angstrom
-3.9019 0.7074 -0.3910
0.2349 -0.8521 -3.8855
-0.7304 -3.6154 0.7487
ATOMIC_POSITIONS angstrom
N -0.3652 -1.8077 0.3743
Be -2.1988 -1.8801 -1.7639
F -1.9510 0.3537 -0.1955
F 0.1174 -0.4260 -1.9428
Ge 0.0000 0.0000 0.0000
! N(E_F) (states/eV/f.u.): 1.34
! Space-group type: P4/mmm, No. 123
! Calculated volume (Å³ per cell): 60
! Total moment (μB/cell): 0.15
! Theoretical density (g/cm3): 3.7

---

#x
! BeGeNF2 (GGA-PBE, optimized geometry); values from VASP
&SYSTEM
  ibrav = 0, nat = 5, ntyp = 4
/
ATOMIC_SPECIES
N 14.01 N.upf
F 19.00 F.upf
Be 9.01 Be.upf
Ge 72.64 Ge.upf
CELL_PARAMETERS angstrom
3.1561 0.0000 0.0000
0.0000 3.1561 0.0000
0.0000 0.0000 5.5584
ATOMIC_POSITIONS angstrom
N 0.0000 0.0000 2.7792
F 1.5781 0.0000 0.0000
Be 0.0000 0.0000 0.0000
F 0.0000 1.5781 0.0000
Ge 1.5781 1.5781 2.7792
! N(E_F) (states/eV/f.u.): 0.78
! Space-group type: P4/mmm, No. 123
! Calculated volume (Å³ per cell): 55
! Total moment (μB/cell): 0.00
! Theoretical density (g/cm3): 4.0

---

Verdict on stability: #w comes out at the bottom.